# 1
DFT (PBE-GGA) results for a geometry-optimized KZrTe structure.

Output
- polymorph energy (0 for the lowest one) (eV/f.u.) = 2.066

Cell lengths 7.5161, 7.5161, 7.5161 Å; angles 90.00, 90.00, 90.00 degrees
Space group F-43m (No. 216)
Symmetry-distinct sites (fractional):
K: 0.0000 0.0000 0.0000
Zr: 0.2500 0.2500 0.2500
Te: 0.2500 0.2500 0.7500

# 2
DFT (PBE-GGA) results for a geometry-optimized ZnW structure.

Output
- E_form (eV/atom) = 0.285
- polymorph energy (0 for the lowest one) (eV/f.u.) = 0.125

Cell lengths 5.5834, 4.6150, 7.3468 Å; angles 90.00, 102.17, 90.00 degrees
Space group P2_1/m (No. 11)
Symmetry-distinct sites (fractional):
Zn: 0.1323 0.2500 0.0468
Zn: 0.3065 0.2500 0.7325
Zn: 0.3570 0.7500 0.9575
W: 0.0256 0.7500 0.6154
W: 0.2041 0.7500 0.2990
W: 0.4797 0.2500 0.3777

# 3
DFT (PBE-GGA) results for a geometry-optimized Rb2InHgBr6 structure.

Output
- total DFT energy (no corrections) (eV per atom) = -2.575

Cell lengths 11.2650, 11.2650, 11.2650 Å; angles 90.00, 90.00, 90.00 degrees
Space group Fm-3m (No. 225)
Symmetry-distinct sites (fractional):
Rb: 0.2500 0.2500 0.2500
In: 0.0000 0.0000 0.0000
Hg: 0.0000 0.0000 0.5000
Br: 0.0000 0.0000 0.2439

# 4
DFT (PBE-GGA) results for a geometry-optimized MgZr2Au structure.

Output
- total DFT energy (no corrections) (eV per atom) = -5.801

Cell lengths 3.1790, 3.1790, 8.3365 Å; angles 90.00, 90.00, 90.00 degrees
Space group P4mm (No. 99)
Symmetry-distinct sites (fractional):
Mg: 0.0000 0.0000 0.0000
Zr: 0.0000 0.0000 0.5525
Zr: 0.5000 0.5000 0.2883
Au: 0.5000 0.5000 0.7932

# 5
DFT (PBE-GGA) results for a geometry-optimized DyTaN2O structure.

Output
- total DFT energy (no corrections) (eV per atom) = -9.598

Cell lengths 5.4983, 9.7319, 9.7333 Å; angles 71.84, 90.00, 90.00 degrees
Space group P1 (No. 1)
Symmetry-distinct sites (fractional):
Dy: 0.0000 0.0000 0.0000
Dy: 0.0006 0.4993 0.5035
Dy: 0.4620 0.2559 0.7428
Dy: 0.4703 0.7603 0.2455
Dy: 0.4953 0.0637 0.4368
Dy: 0.5045 0.5657 0.9360
Dy: 0.9635 0.3093 0.1933
Dy: 0.9688 0.8056 0.6972
Ta: 0.0019 0.4159 0.8454
Ta: 0.0019 0.6516 0.0961
Ta: 0.4639 0.1514 0.0896
Ta: 0.4933 0.4221 0.3342
Ta: 0.4999 0.6581 0.5870
Ta: 0.5007 0.9085 0.8527
Ta: 0.9609 0.1519 0.5869
Ta: 0.9927 0.8977 0.3588
N: 0.0837 0.0160 0.4896
N: 0.0865 0.5173 0.9878
N: 0.1721 0.5364 0.2766
N: 0.1724 0.7288 0.4676
N: 0.1755 0.2305 0.9686
N: 0.2718 0.7926 0.0204
N: 0.2739 0.9847 0.2166
N: 0.2765 0.4814 0.7187
N: 0.5840 0.5491 0.4537
N: 0.5862 0.0542 0.9532
N: 0.6712 0.8394 0.4713
N: 0.6721 0.0316 0.6666
N: 0.6741 0.5313 0.1660
N: 0.7732 0.2792 0.4199
N: 0.7730 0.5833 0.7276
N: 0.7755 0.7821 0.9196
O: 0.1738 0.0453 0.7745
O: 0.2690 0.2879 0.5300
O: 0.3612 0.2644 0.2440
O: 0.3647 0.7667 0.7411
O: 0.6751 0.3381 0.9849
O: 0.7696 0.0935 0.2260
O: 0.8629 0.3009 0.7058
O: 0.8629 0.8101 0.1995

# 6
DFT (PBE-GGA) results for a geometry-optimized NpTlCu structure.

Output
- total DFT energy (no corrections) (eV per atom) = -5.872

Cell lengths 6.6031, 6.6031, 6.6031 Å; angles 90.00, 90.00, 90.00 degrees
Space group F-43m (No. 216)
Symmetry-distinct sites (fractional):
Np: 0.0000 0.0000 0.0000
Tl: 0.0000 0.0000 0.5000
Cu: 0.2500 0.2500 0.2500